DFT (GGA-PBE) results for crystalline Th2TlPt at its relaxed geometry.

Properties
* VASP energy: -25.5 eV/cell
* symmetry: R-3m, No. 166
* E_form: -2.294 eV per formula unit
* offset from the most stable computed form: 15 meV per atom

abc: 8.7625 8.7625 8.7625
angles: 26.73 26.73 26.73
Last column: nearest neighbours and their distance in Å.
Atoms (fractional coordinates):
Th: 0.2358 0.2358 0.2358  3 Pt 2.92
Th: 0.7642 0.7642 0.7642  3 Pt 2.92
Tl: 0.0000 0.0000 0.0000  6 Th 3.40
Pt: 0.5000 0.5000 0.5000  6 Th 2.92

***

DFT (GGA-PBE) results for crystalline Dy3Y4Pt4 at its relaxed geometry.

Properties
* VASP energy: -73.7 eV/cell
* symmetry: Immm, No. 71
* E_form: -9.858 eV per formula unit

abc: 9.4878 9.4878 9.4878
angles: 156.85 124.63 60.80
Last column: nearest neighbours and their distance in Å.
Atoms (fractional coordinates):
Dy: 0.0000 0.0000 0.0000  4 Pt 3.22
Dy: 0.4011 0.9011 0.5000  6 Pt 3.03-3.08, 1 Dy 3.24
Dy: 0.5989 0.0989 0.5000  6 Pt 3.03-3.08, 1 Dy 3.24
Y: 0.0210 0.3344 0.6866  4 Pt 2.87-3.04
Y: 0.3521 0.6656 0.6866  4 Pt 2.87-3.04
Y: 0.6479 0.3344 0.3134  4 Pt 2.87-3.04
Y: 0.9790 0.6656 0.3134  4 Pt 2.87-3.04
Pt: 0.2569 0.2569 0.0000  6 Y 2.93-3.04, 2 Dy 3.03
Pt: 0.2953 0.5000 0.7953  2 Y 2.87, 4 Dy 3.08
Pt: 0.7047 0.5000 0.2047  2 Y 2.87, 4 Dy 3.08
Pt: 0.7431 0.7431 0.0000  6 Y 2.93-3.04, 2 Dy 3.03

***

DFT (GGA-PBE) results for crystalline CoRh3Br at its relaxed geometry.

Properties
* VASP energy: -25.0 eV/cell
* formation energy (no corrections): 5.81 eV/f.u.
* symmetry: Pm-3m, No. 221
* offset from the most stable computed form: 0 meV per atom

abc: 4.5576 4.5576 4.5576
angles: 90.00 90.00 90.00
Last column: nearest neighbours and their distance in Å.
Atoms (fractional coordinates):
Co: 0.0000 0.0000 0.0000  6 Rh 2.28
Rh: 0.0000 0.0000 0.5000  2 Co 2.28
Rh: 0.0000 0.5000 0.0000  2 Co 2.28
Rh: 0.5000 0.0000 0.0000  2 Co 2.28
Br: 0.5000 0.5000 0.5000  12 Rh 3.22

***

DFT (GGA-PBE) results for crystalline ZrCdAg at its relaxed geometry.

Properties
* VASP energy: -12.6 eV/cell
* symmetry: P-6m2, No. 187
* E_form: -0.261 eV per formula unit

abc: 4.8610 4.8610 2.9460
angles: 90.00 90.00 120.00
Last column: nearest neighbours and their distance in Å.
Atoms (fractional coordinates):
Zr: 0.0000 0.0000 0.0000  2 Zr 2.95, 6 Ag 3.17, 6 Cd 3.17
Cd: 0.3333 0.6667 0.5000  3 Ag 2.81, 2 Cd 2.95
Ag: 0.6667 0.3333 0.5000  3 Cd 2.81, 2 Ag 2.95

***

Q: Which value of VASP energy does entry 2 give?
A: -73.7 eV/cell

***

Q: Which formula does entry 2 have?
A: Dy3Y4Pt4

***

Q: Number 2 is which compound?
A: Dy3Y4Pt4

***

Q: Which of these has the lowest VASP energy?
A: Dy3Y4Pt4